(1)
A plane-wave DFT calculation with PBE-GGA was carried out for a relaxed structure of LiCa2Tl8.

abc: 4.9663 4.9663 12.5359
angles: 90.00 90.00 90.00
Atoms (fractional coordinates):
1 Li 0.0000 0.0000 0.0000
2 Ca 0.0000 0.0000 0.3139
3 Ca 0.0000 0.0000 0.6861
4 Tl 0.0000 0.5000 0.1282
5 Tl 0.0000 0.5000 0.5000
6 Tl 0.0000 0.5000 0.8718
7 Tl 0.5000 0.0000 0.1282
8 Tl 0.5000 0.0000 0.5000
9 Tl 0.5000 0.0000 0.8718
10 Tl 0.5000 0.5000 0.3125
11 Tl 0.5000 0.5000 0.6875

Values from the calculation:
The size of the total moment comes out at 0.000 μB per atom. Its space group is P4/mmm. The value obtained for the density is 9.2 Mg/m³. The formation energy comes out at -0.20 eV per atom. Its volume is 28.108 Å³ per atom. The total energy is -2.46 eV/atom.

***

(2)
A plane-wave DFT calculation with PBE-GGA was carried out for a relaxed structure of LiCa3Tl.

abc: 10.8305 10.8305 5.4913
angles: 90.00 90.00 150.68
Atoms (fractional coordinates):
1 Li 0.1579 0.8421 0.7500
2 Li 0.8421 0.1579 0.2500
3 Ca 0.0682 0.9318 0.2500
4 Ca 0.2505 0.7495 0.2500
5 Ca 0.4319 0.5681 0.2500
6 Ca 0.5681 0.4319 0.7500
7 Ca 0.7495 0.2505 0.7500
8 Ca 0.9318 0.0682 0.7500
9 Tl 0.3425 0.6575 0.7500
10 Tl 0.6575 0.3425 0.2500

Values from the calculation:
The size of the total moment comes out at 0.000 μB per atom. Its space group is Cmcm. The value obtained for the density is 3.5 Mg/m³. The formation energy comes out at -0.22 eV per atom. The offset from the most stable computed form comes out at 0 meV per atom. Its volume is 31.547 Å³ per atom. The total energy is -2.28 eV/atom.

***

(3)
A plane-wave DFT calculation with PBE-GGA was carried out for a relaxed structure of LiCa4Tl15.

abc: 4.8394 4.8394 24.3365
angles: 90.00 90.00 90.00
Atoms (fractional coordinates):
1 Li 0.0000 0.0000 0.0000
2 Ca 0.0000 0.0000 0.1961
3 Ca 0.0000 0.0000 0.3987
4 Ca 0.0000 0.0000 0.6013
5 Ca 0.0000 0.0000 0.8039
6 Tl 0.0000 0.5000 0.0942
7 Tl 0.0000 0.5000 0.2974
8 Tl 0.0000 0.5000 0.5000
9 Tl 0.0000 0.5000 0.7026
10 Tl 0.0000 0.5000 0.9058
11 Tl 0.5000 0.0000 0.0942
12 Tl 0.5000 0.0000 0.2974
13 Tl 0.5000 0.0000 0.5000
14 Tl 0.5000 0.0000 0.7026
15 Tl 0.5000 0.0000 0.9058
16 Tl 0.5000 0.5000 0.0000
17 Tl 0.5000 0.5000 0.1972
18 Tl 0.5000 0.5000 0.3985
19 Tl 0.5000 0.5000 0.6015
20 Tl 0.5000 0.5000 0.8028

Values from the calculation:
The size of the total moment comes out at 0.000 μB per atom. Its space group is P4/mmm. The value obtained for the density is 9.4 Mg/m³. The formation energy comes out at -0.20 eV per atom. Its volume is 28.498 Å³ per atom. The total energy is -2.47 eV/atom.

***

(4)
A plane-wave DFT calculation with PBE-GGA was carried out for a relaxed structure of LiCa2Tl2.

abc: 7.9664 7.9664 4.6715
angles: 90.00 90.00 90.00
Atoms (fractional coordinates):
1 Li 0.0000 0.0000 0.0000
2 Li 0.5000 0.5000 0.0000
3 Ca 0.1624 0.3376 0.5000
4 Ca 0.3376 0.8376 0.5000
5 Ca 0.6624 0.1624 0.5000
6 Ca 0.8376 0.6624 0.5000
7 Tl 0.1431 0.6431 0.0000
8 Tl 0.3569 0.1431 0.0000
9 Tl 0.6431 0.8569 0.0000
10 Tl 0.8569 0.3569 0.0000

Values from the calculation:
The size of the total moment comes out at 0.000 μB per atom. Its space group is P4/mbm. The value obtained for the density is 5.6 Mg/m³. The formation energy comes out at -0.30 eV per atom. The offset from the most stable computed form comes out at 6 meV per atom. Its volume is 29.647 Å³ per atom. The total energy is -2.43 eV/atom.

***

(5)
A plane-wave DFT calculation with PBE-GGA was carried out for a relaxed structure of Li5CaTl4.

abc: 3.6508 3.6508 16.9246
angles: 90.00 90.00 90.00
Atoms (fractional coordinates):
1 Li 0.0000 0.0000 0.0000
2 Li 0.0000 0.0000 0.1917
3 Li 0.0000 0.0000 0.3726
4 Li 0.0000 0.0000 0.6274
5 Li 0.0000 0.0000 0.8083
6 Ca 0.5000 0.5000 0.5000
7 Tl 0.5000 0.5000 0.0990
8 Tl 0.5000 0.5000 0.2942
9 Tl 0.5000 0.5000 0.7058
10 Tl 0.5000 0.5000 0.9010

Values from the calculation:
The size of the total moment comes out at 0.003 μB per atom. Its space group is P4/mmm. The value obtained for the density is 6.6 Mg/m³. The formation energy comes out at -0.18 eV per atom. Its volume is 22.558 Å³ per atom. The total energy is -2.29 eV/atom.

***

(6)
A plane-wave DFT calculation with PBE-GGA was carried out for a relaxed structure of Li5Ca6Tl.

abc: 9.6210 9.6210 5.5312
angles: 106.65 106.65 119.73
Atoms (fractional coordinates):
1 Li 0.0000 0.0000 0.0000
2 Li 0.1667 0.8333 0.5000
3 Li 0.3311 0.6689 0.0000
4 Li 0.6689 0.3311 0.0000
5 Li 0.8333 0.1667 0.5000
6 Ca 0.0901 0.4177 0.2539
7 Ca 0.2580 0.2580 0.7583
8 Ca 0.4177 0.0901 0.2539
9 Ca 0.5823 0.9099 0.7461
10 Ca 0.7420 0.7420 0.2417
11 Ca 0.9099 0.5823 0.7461
12 Tl 0.5000 0.5000 0.5000

Values from the calculation:
The size of the total moment comes out at 0.000 μB per atom. Its space group is C2/m. The value obtained for the density is 2.2 Mg/m³. The formation energy comes out at -0.08 eV per atom. Its volume is 30.423 Å³ per atom. The total energy is -2.07 eV/atom.

***

(7)
A plane-wave DFT calculation with PBE-GGA was carried out for a relaxed structure of Li8Ca3Tl.

abc: 10.4826 10.4826 10.4826
angles: 32.40 32.40 32.40
Atoms (fractional coordinates):
1 Li 0.0000 0.0000 0.0000
2 Li 0.2387 0.7474 0.7474
3 Li 0.2533 0.2533 0.7482
4 Li 0.2533 0.7482 0.2533
5 Li 0.4969 0.4969 0.4969
6 Li 0.7474 0.2387 0.7474
7 Li 0.7474 0.7474 0.2387
8 Li 0.7482 0.2533 0.2533
9 Ca 0.1795 0.1795 0.1795
10 Ca 0.3090 0.3090 0.3090
11 Ca 0.6969 0.6969 0.6969
12 Tl 0.8135 0.8135 0.8135

Values from the calculation:
The size of the total moment comes out at 0.000 μB per atom. Its space group is R3m. The value obtained for the density is 2.1 Mg/m³. The formation energy comes out at -0.06 eV per atom. Its volume is 24.505 Å³ per atom. The total energy is -2.04 eV/atom.

***

(8)
A plane-wave DFT calculation with PBE-GGA was carried out for a relaxed structure of Li5Ca3Tl.

abc: 7.7292 7.7292 4.8076
angles: 90.00 90.00 120.00
Atoms (fractional coordinates):
1 Li 0.0000 0.7721 0.0000
2 Li 0.2279 0.2279 0.0000
3 Li 0.3333 0.6667 0.0000
4 Li 0.6667 0.3333 0.0000
5 Li 0.7721 0.0000 0.0000
6 Ca 0.0000 0.4200 0.5000
7 Ca 0.4200 0.0000 0.5000
8 Ca 0.5800 0.5800 0.5000
9 Tl 0.0000 0.0000 0.5000

Values from the calculation:
The size of the total moment comes out at 0.000 μB per atom. Its space group is P-62m. The value obtained for the density is 2.4 Mg/m³. The formation energy comes out at -0.07 eV per atom. Its volume is 27.637 Å³ per atom. The total energy is -2.06 eV/atom.

***

(9)
A plane-wave DFT calculation with PBE-GGA was carried out for a relaxed structure of LiCa3Tl12.

abc: 4.9165 4.9165 18.7174
angles: 90.00 90.00 90.00
Atoms (fractional coordinates):
1 Li 0.0000 0.0000 0.0000
2 Ca 0.0000 0.0000 0.2451
3 Ca 0.0000 0.0000 0.5000
4 Ca 0.0000 0.0000 0.7549
5 Tl 0.0000 0.5000 0.1175
6 Tl 0.0000 0.5000 0.3724
7 Tl 0.0000 0.5000 0.6276
8 Tl 0.0000 0.5000 0.8825
9 Tl 0.5000 0.0000 0.1175
10 Tl 0.5000 0.0000 0.3724
11 Tl 0.5000 0.0000 0.6276
12 Tl 0.5000 0.0000 0.8825
13 Tl 0.5000 0.5000 0.0000
14 Tl 0.5000 0.5000 0.2454
15 Tl 0.5000 0.5000 0.5000
16 Tl 0.5000 0.5000 0.7546

Values from the calculation:
The size of the total moment comes out at 0.000 μB per atom. Its space group is P4/mmm. The value obtained for the density is 9.5 Mg/m³. The formation energy comes out at -0.19 eV per atom. Its volume is 28.277 Å³ per atom. The total energy is -2.46 eV/atom.

***

(10)
A plane-wave DFT calculation with PBE-GGA was carried out for a relaxed structure of LiCa7Tl4.

abc: 8.1201 8.1201 11.4368
angles: 123.95 123.95 41.13
Atoms (fractional coordinates):
1 Li 0.0000 0.0000 0.0000
2 Ca 0.0732 0.0732 0.3406
3 Ca 0.2163 0.2163 0.8741
4 Ca 0.3395 0.3395 0.3980
5 Ca 0.5000 0.5000 0.0000
6 Ca 0.6605 0.6605 0.6020
7 Ca 0.7837 0.7837 0.1259
8 Ca 0.9268 0.9268 0.6594
9 Tl 0.3037 0.3037 0.6633
10 Tl 0.4374 0.4374 0.2217
11 Tl 0.5626 0.5626 0.7783
12 Tl 0.6963 0.6963 0.3367

Values from the calculation:
The size of the total moment comes out at 0.000 μB per atom. Its space group is C2/m. The value obtained for the density is 4.6 Mg/m³. The formation energy comes out at -0.21 eV per atom. Its volume is 33.175 Å³ per atom. The total energy is -2.33 eV/atom.